No. 1
This record from the Alexandria database describes a geometry-optimized Ho4Cd2Ag3 structure. The functional is PBE.

Geometry as CIF:
```
data_Ho4Cd2Ag3
_chemical_formula_sum 'Ho4 Cd2 Ag3'
_cell_length_a 4.9419
_cell_length_b 5.4642
_cell_length_c 9.1539
_cell_angle_alpha 79.83
_cell_angle_beta 90.00
_cell_angle_gamma 63.11
_symmetry_space_group_name_H-M 'P 1'
_symmetry_Int_Tables_number 1
_symmetry_space_group_name_Hall 'P 1'
loop_
_atom_site_label
_atom_site_fract_x
_atom_site_fract_y
_atom_site_fract_z
Ho1 0.6450 0.7100 0.8968
Ho2 0.0549 0.8900 0.3390
Ho3 0.9451 0.1100 0.6610
Ho4 0.3550 0.2900 0.1032
Cd1 0.2748 0.4507 0.7390
Cd2 0.7252 0.5493 0.2610
Ag1 0.3607 0.2783 0.4350
Ag2 0.0000 0.0000 0.0000
Ag3 0.6393 0.7217 0.5650
```

Output
E_form = -23.8 kJ/mol of atoms
crystal system = monoclinic

***

No. 2
This record from the Alexandria database describes a geometry-optimized Nb2ReTe6 structure. The functional is PBE.

Geometry as CIF:
```
data_Nb2ReTe6
_chemical_formula_sum 'Nb4 Re2 Te12'
_cell_length_a 6.9966
_cell_length_b 7.1724
_cell_length_c 8.9448
_cell_angle_alpha 90.00
_cell_angle_beta 79.67
_cell_angle_gamma 90.00
_symmetry_space_group_name_H-M 'P 1'
_symmetry_Int_Tables_number 1
_symmetry_space_group_name_Hall 'P 1'
loop_
_atom_site_label
_atom_site_fract_x
_atom_site_fract_y
_atom_site_fract_z
Nb1 0.9860 0.3612 0.7554
Nb2 0.5140 0.8612 0.7446
Nb3 0.4860 0.1388 0.2554
Nb4 0.0140 0.6388 0.2446
Re1 0.5000 0.5000 0.0000
Re2 0.0000 0.0000 0.5000
Te1 0.8650 0.9982 0.2381
Te2 0.8397 0.6595 0.5723
Te3 0.8636 0.6685 0.9473
Te4 0.6364 0.1685 0.5527
Te5 0.6603 0.1595 0.9277
Te6 0.6350 0.4982 0.2619
Te7 0.1350 0.0018 0.7619
Te8 0.1603 0.3405 0.4277
Te9 0.1364 0.3315 0.0527
Te10 0.3636 0.8315 0.4473
Te11 0.3397 0.8405 0.0723
Te12 0.3650 0.5018 0.7381
```

Output
formation energy from raw total energies = -44.9 meV per atom
crystal system = monoclinic

***

No. 3
This record from the Alexandria database describes a geometry-optimized LiSc structure. The functional is PBE.

Geometry as CIF:
```
data_LiSc
_chemical_formula_sum 'Li2 Sc2'
_cell_length_a 3.2513
_cell_length_b 5.3567
_cell_length_c 5.0671
_cell_angle_alpha 90.00
_cell_angle_beta 90.00
_cell_angle_gamma 90.00
_symmetry_space_group_name_H-M 'P 1'
_symmetry_Int_Tables_number 1
_symmetry_space_group_name_Hall 'P 1'
loop_
_atom_site_label
_atom_site_fract_x
_atom_site_fract_y
_atom_site_fract_z
Li1 0.0000 0.9296 0.5000
Li2 0.5000 0.0704 0.0000
Sc1 0.0000 0.5718 0.0000
Sc2 0.5000 0.4282 0.5000
```

Output
energy relative to the lowest polymorph listed for this composition = 0.098 eV/atom
E_form = 18.2 kJ/mol of atoms
crystal system = orthorhombic

***

No. 4
This record from the Alexandria database describes a geometry-optimized ZnIrOs2 structure. The functional is PBE.

Geometry as CIF:
```
data_ZnIrOs2
_chemical_formula_sum 'Zn1 Ir1 Os2'
_cell_length_a 4.7281
_cell_length_b 4.7281
_cell_length_c 4.7281
_cell_angle_alpha 132.03
_cell_angle_beta 132.03
_cell_angle_gamma 70.19
_symmetry_space_group_name_H-M 'P 1'
_symmetry_Int_Tables_number 1
_symmetry_space_group_name_Hall 'P 1'
loop_
_atom_site_label
_atom_site_fract_x
_atom_site_fract_y
_atom_site_fract_z
Ir1 0.7500 0.2500 0.5000
Os1 0.0000 0.0000 0.0000
Os2 0.2500 0.7500 0.5000
Zn1 0.5000 0.5000 0.0000
```

Output
E_form = 23.5 kJ/mol of atoms
crystal system = tetragonal

***

No. 5
This record from the Alexandria database describes a geometry-optimized YHoCo structure. The functional is PBE.

Geometry as CIF:
```
data_YHoCo
_chemical_formula_sum 'Y2 Ho2 Co2'
_cell_length_a 3.7422
_cell_length_b 5.6512
_cell_length_c 7.1445
_cell_angle_alpha 97.42
_cell_angle_beta 90.00
_cell_angle_gamma 90.00
_symmetry_space_group_name_H-M 'P 1'
_symmetry_Int_Tables_number 1
_symmetry_space_group_name_Hall 'P 1'
loop_
_atom_site_label
_atom_site_fract_x
_atom_site_fract_y
_atom_site_fract_z
Y1 0.7500 0.8087 0.6709
Y2 0.2500 0.1913 0.3291
Ho1 0.7500 0.6608 0.1659
Ho2 0.2500 0.3392 0.8341
Co1 0.7500 0.1323 0.0397
Co2 0.2500 0.8677 0.9603
```

Output
energy relative to the lowest polymorph listed for this composition = 0.000 eV/atom
E_form = -13.3 kJ/mol of atoms
crystal system = monoclinic

***

No. 6
This record from the Alexandria database describes a geometry-optimized TlCuHg2Pb structure. The functional is PBE.

Geometry as CIF:
```
data_TlCuHg2Pb
_chemical_formula_sum 'Tl1 Cu1 Hg2 Pb1'
_cell_length_a 5.7106
_cell_length_b 4.9632
_cell_length_c 5.7106
_cell_angle_alpha 90.00
_cell_angle_beta 90.00
_cell_angle_gamma 90.00
_symmetry_space_group_name_H-M 'P 1'
_symmetry_Int_Tables_number 1
_symmetry_space_group_name_Hall 'P 1'
loop_
_atom_site_label
_atom_site_fract_x
_atom_site_fract_y
_atom_site_fract_z
Pb1 0.5000 0.5000 0.5000
Tl1 0.0000 0.0000 0.0000
Hg1 0.0000 0.0000 0.5000
Hg2 0.5000 0.0000 0.0000
Cu1 0.0000 0.5000 0.0000
```

Output
energy relative to the lowest polymorph listed for this composition = 0.391 eV/atom
E_form = 51.9 kJ/mol of atoms
crystal system = tetragonal

***

No. 7
This record from the Alexandria database describes a geometry-optimized PaBe5Ir structure. The functional is PBE.

Geometry as CIF:
```
data_PaBe5Ir
_chemical_formula_sum 'Pa4 Be20 Ir4'
_cell_length_a 4.4374
_cell_length_b 7.6631
_cell_length_c 9.6414
_cell_angle_alpha 90.00
_cell_angle_beta 90.00
_cell_angle_gamma 90.00
_symmetry_space_group_name_H-M 'P 1'
_symmetry_Int_Tables_number 1
_symmetry_space_group_name_Hall 'P 1'
loop_
_atom_site_label
_atom_site_fract_x
_atom_site_fract_y
_atom_site_fract_z
Pa1 0.2500 0.2278 0.9390
Pa2 0.7500 0.2722 0.4390
Pa3 0.2500 0.7278 0.5610
Pa4 0.7500 0.7722 0.0610
Be1 0.2500 0.5738 0.0129
Be2 0.7500 0.9262 0.5129
Be3 0.2500 0.0738 0.4871
Be4 0.7500 0.4262 0.9871
Be5 0.7500 0.2956 0.7507
Be6 0.2500 0.2044 0.2507
Be7 0.7500 0.7956 0.7493
Be8 0.2500 0.7044 0.2493
Be9 0.2500 0.9686 0.1217
Be10 0.7500 0.5314 0.6217
Be11 0.2500 0.4686 0.3783
Be12 0.7500 0.0314 0.8783
Be13 0.9929 0.4417 0.1861
Be14 0.0071 0.0583 0.6861
Be15 0.5071 0.9417 0.3139
Be16 0.4929 0.5583 0.8139
Be17 0.0071 0.5583 0.8139
Be18 0.9929 0.9417 0.3139
Be19 0.4929 0.0583 0.6861
Be20 0.5071 0.4417 0.1861
Ir1 0.2500 0.8581 0.8586
Ir2 0.7500 0.6419 0.3586
Ir3 0.2500 0.3581 0.6414
Ir4 0.7500 0.1419 0.1414
```

Output
E_form = -33.2 kJ/mol of atoms
crystal system = orthorhombic

***

No. 8
This record from the Alexandria database describes a geometry-optimized TlNi2Rh structure. The functional is PBE.

Geometry as CIF:
```
data_TlNi2Rh
_chemical_formula_sum 'Tl1 Ni2 Rh1'
_cell_length_a 4.6011
_cell_length_b 4.6011
_cell_length_c 4.7394
_cell_angle_alpha 78.67
_cell_angle_beta 78.67
_cell_angle_gamma 37.77
_symmetry_space_group_name_H-M 'P 1'
_symmetry_Int_Tables_number 1
_symmetry_space_group_name_Hall 'P 1'
loop_
_atom_site_label
_atom_site_fract_x
_atom_site_fract_y
_atom_site_fract_z
Ni1 0.0060 0.0060 0.9601
Ni2 0.4940 0.4940 0.5399
Rh1 0.7500 0.7500 0.7500
Tl1 0.2500 0.2500 0.2500
```

Output
energy relative to the lowest polymorph listed for this composition = 0.056 eV/atom
E_form = 24.3 kJ/mol of atoms
crystal system = monoclinic

***

No. 9
This record from the Alexandria database describes a geometry-optimized Sm2SiGe3Rh4 structure. The functional is PBE.

Geometry as CIF:
```
data_Sm2SiGe3Rh4
_chemical_formula_sum 'Sm2 Si1 Ge3 Rh4'
_cell_length_a 4.2362
_cell_length_b 4.2362
_cell_length_c 10.0088
_cell_angle_alpha 90.00
_cell_angle_beta 90.00
_cell_angle_gamma 90.00
_symmetry_space_group_name_H-M 'P 1'
_symmetry_Int_Tables_number 1
_symmetry_space_group_name_Hall 'P 1'
loop_
_atom_site_label
_atom_site_fract_x
_atom_site_fract_y
_atom_site_fract_z
Sm1 0.5000 0.0000 0.2580
Sm2 0.0000 0.5000 0.7420
Si1 0.5000 0.5000 0.5000
Ge1 0.0000 0.0000 0.5000
Ge2 0.5000 0.0000 0.8678
Ge3 0.0000 0.5000 0.1322
Rh1 0.5000 0.5000 0.0000
Rh2 0.0000 0.0000 0.0000
Rh3 0.5000 0.0000 0.6228
Rh4 0.0000 0.5000 0.3772
```

Output
formation energy from raw total energies = -912.5 meV per atom
crystal system = tetragonal

***

No. 10
This record from the Alexandria database describes a geometry-optimized AsAu5 structure. The functional is PBE.

Geometry as CIF:
```
data_AsAu5
_chemical_formula_sum 'As1 Au5'
_cell_length_a 5.7163
_cell_length_b 5.7163
_cell_length_c 7.0302
_cell_angle_alpha 74.59
_cell_angle_beta 74.59
_cell_angle_gamma 29.80
_symmetry_space_group_name_H-M 'P 1'
_symmetry_Int_Tables_number 1
_symmetry_space_group_name_Hall 'P 1'
loop_
_atom_site_label
_atom_site_fract_x
_atom_site_fract_y
_atom_site_fract_z
As1 0.9998 0.9998 0.0002
Au1 0.3288 0.3288 0.3379
Au2 0.6643 0.6643 0.6742
Au3 0.6103 0.6103 0.2724
Au4 0.9454 0.9454 0.6060
Au5 0.2846 0.2846 0.9427
```

Output
E_form = 8.5 kJ/mol of atoms
crystal system = monoclinic

***

For the records above, the corresponding energy values read -3.4354; -5.7602; -3.9337; -7.9051; -6.1874; -1.6171; -5.6285; -5.0681; -6.7245; -3.4184 eV per atom.